(1)
Entry from the Alexandria database: a relaxed structure of AcEuIr2 (GGA-PBE).

```
4
Lattice="-3.413 -1.584 0.466 2.070 -3.681 2.647 -0.653 2.638 4.178" Properties=species:S:1:pos:R:3 pbc="T T T"
Eu -0.998 -1.314 3.646
Ir 1.035 -1.840 1.324
Ir -0.327 1.319 2.089
Ac -1.706 -0.792 0.233
```

## Properties
As for the crystal system: tetragonal. The offset from the most stable computed form comes out at 0.0 meV/atom. As for the magnetization: 1.65 μB/atom. As for the space group: P4/mmm, No. 123. The calculation puts the formation energy at -0.290 eV per atom.

=====

(2)
Entry from the Alexandria database: a relaxed structure of TmThCu2 (GGA-PBE).

```
4
Lattice="3.748 0.000 -0.029 0.000 4.348 0.000 -1.847 0.000 5.406" Properties=species:S:1:pos:R:3 pbc="T T T"
Cu -0.992 0.000 3.063
Cu -0.990 2.174 4.589
Tm 0.892 0.000 5.325
Th 0.875 2.174 2.218
```

## Properties
As for the crystal system: monoclinic. The offset from the most stable computed form comes out at 0.0 meV/atom. As for the magnetization: 0.00 μB/atom. As for the space group: Pm, No. 6. The calculation puts the formation energy at -0.183 eV per atom.

=====

(3)
Entry from the Alexandria database: a relaxed structure of Cu5Ni2Pd12 (GGA-PBE).

```
19
Lattice="7.553 0.000 0.000 -3.777 5.718 0.906 0.000 -1.031 6.314" Properties=species:S:1:pos:R:3 pbc="T T T"
Pd -2.426 3.268 5.434
Pd 0.000 4.300 5.093
Pd 3.777 4.577 1.524
Pd 5.299 0.766 4.396
Pd 3.777 0.387 2.126
Pd 0.000 0.110 5.696
Pd 1.522 3.921 2.823
Pd 1.350 1.419 1.785
Pd 2.426 3.268 5.434
Pd 6.203 1.419 1.785
Pd 2.254 0.766 4.396
Pd -1.522 3.921 2.823
Cu 0.000 -0.516 3.157
Cu 0.000 2.038 4.002
Cu 3.777 1.220 6.621
Cu 0.000 3.467 0.599
Cu 3.777 2.649 3.218
Ni 5.103 0.000 0.000
Ni 2.450 0.000 0.000
```

## Properties
As for the crystal system: monoclinic. As for the magnetization: 0.18 μB/atom. As for the space group: C2/m, No. 12. The calculation puts the formation energy at 0.071 eV per atom.

=====

(4)
Entry from the Alexandria database: a relaxed structure of SbTeAu2 (GGA-PBE).

```
8
Lattice="-2.641 2.976 2.131 -3.692 -4.481 1.687 4.761 -1.114 7.445" Properties=species:S:1:pos:R:3 pbc="T T T"
Sb -2.690 -3.574 3.577
Sb 1.482 -0.699 9.505
Au 3.639 -1.075 7.923
Au -3.041 -1.006 4.336
Au -0.579 -1.355 7.877
Au 1.487 -0.347 4.240
Te -0.087 -3.993 7.388
Te -0.859 0.038 5.575
```

## Properties
As for the crystal system: orthorhombic. The offset from the most stable computed form comes out at 92.5 meV/atom. As for the magnetization: 0.00 μB/atom. Its raw formation energy is 54.4 meV per atom. As for the space group: Pmn2_1, No. 31.

=====

(5)
Entry from the Alexandria database: a relaxed structure of Sr2BeP (GGA-PBE).

```
4
Lattice="6.358 0.000 0.000 3.338 5.411 0.000 -4.848 -2.705 3.098" Properties=species:S:1:pos:R:3 pbc="T T T"
Be 4.848 2.705 0.000
Sr 0.000 0.000 0.000
Sr 1.669 2.705 1.549
P 3.179 0.000 1.549
```

## Properties
As for the crystal system: tetragonal. The offset from the most stable computed form comes out at 495.4 meV/atom. As for the magnetization: 0.00 μB/atom. As for the space group: I-4m2, No. 119. The calculation puts the formation energy at 0.053 eV per atom.

=====

(6)
Entry from the Alexandria database: a relaxed structure of NaAsBr3 (GGA-PBE).

```
5
Lattice="5.438 0.000 0.000 0.000 5.438 0.000 0.000 0.000 5.438" Properties=species:S:1:pos:R:3 pbc="T T T"
Na 2.719 2.719 2.719
Br 2.719 0.000 0.000
Br 0.000 2.719 0.000
Br 0.000 0.000 2.719
As 0.000 0.000 0.000
```

## Properties
As for the crystal system: cubic. The offset from the most stable computed form comes out at 220.0 meV/atom. As for the magnetization: 0.00 μB/atom. Its raw formation energy is -595.2 meV per atom. As for the space group: Pm-3m, No. 221.

=====

(7)
Entry from the Alexandria database: a relaxed structure of Mg12CuPd6 (GGA-PBE).

```
19
Lattice="6.972 0.536 0.643 -0.527 6.973 0.643 -0.527 -0.614 6.975" Properties=species:S:1:pos:R:3 pbc="T T T"
Mg -0.227 0.754 2.585
Mg 3.653 1.367 3.712
Mg 5.139 4.332 7.907
Mg 3.503 6.754 7.057
Mg 0.779 2.563 0.354
Mg 2.266 5.528 4.549
Mg 2.815 4.127 2.009
Mg 2.416 0.141 1.204
Mg 5.121 3.926 3.841
Mg 6.145 6.142 5.675
Mg 0.798 2.970 4.420
Mg 3.104 2.768 6.252
Pd 1.558 0.501 5.395
Pd 4.360 6.395 2.865
Pd 4.923 2.331 1.457
Pd 5.660 1.876 5.706
Pd 0.996 4.564 6.804
Pd 0.259 5.020 2.554
Cu 0.000 0.000 0.000
```

## Properties
As for the crystal system: trigonal. As for the magnetization: 0.00 μB/atom. As for the space group: R-3, No. 148. The calculation puts the formation energy at -0.452 eV per atom.

=====

(8)
Entry from the Alexandria database: a relaxed structure of ZrScSe3 (GGA-PBE).

```
10
Lattice="6.452 0.000 0.000 0.000 6.634 0.000 0.000 -3.317 5.745" Properties=species:S:1:pos:R:3 pbc="T T T"
Sc 0.000 3.317 1.915
Sc 3.226 3.317 1.915
Zr 0.000 0.000 0.000
Zr 3.226 0.000 0.000
Se 4.839 4.410 0.008
Se 4.839 4.422 3.815
Se 4.839 1.119 1.922
Se 1.613 2.224 0.008
Se 1.613 5.515 1.922
Se 1.613 2.212 3.815
```

## Properties
As for the crystal system: hexagonal. The offset from the most stable computed form comes out at 0.0 meV/atom. As for the magnetization: 0.00 μB/atom. Its raw formation energy is -1494.8 meV per atom. As for the space group: P-6c2, No. 188.

=====

| no. | volume (Å³/atom) | E (eV/atom) |
| --- | --- | --- |
| 1 | 23.54 | -8.316 |
| 2 | 21.96 | -5.204 |
| 3 | 14.72 | -4.895 |
| 4 | 30.38 | -3.400 |
| 5 | 26.65 | -3.072 |
| 6 | 32.16 | -2.793 |
| 7 | 18.22 | -3.315 |
| 8 | 24.59 | -6.561 |